No. 1
{"formula": "Ba2Sc2Sn", "functional": "PBE", "state": "optimized geometry", "crystal_system": "tetragonal", "sg": "I4/mmm (139)", "energy_ev_per_cell": -17.7, "polymorph_energy_mev_per_atom": 595, "delta_e_f_ev_per_fu": 2.76, "dos_at_fermi_per_ev_cell": 3.54, "cell": [[4.551, 0.000, 0.000], [0.000, 4.551, 0.000], [2.276, 2.276, 8.454]], "species": ["Sc", "Sc", "Sn", "Ba", "Ba"], "frac_coords": [[0.576, 0.576, 0.848], [0.424, 0.424, 0.152], [0.000, 0.000, 0.000], [0.250, 0.750, 0.500], [0.750, 0.250, 0.500]]}

=====

No. 2
{"formula": "Dy5CdSn2", "functional": "PBE", "state": "optimized geometry", "crystal_system": "orthorhombic", "sg": "Cmcm (63)", "energy_ev_per_cell": -67.7, "delta_e_f_ev_per_fu": -1.90, "dos_at_fermi_per_ev_cell": 12.20, "cell": [[-4.543, 0.913, -2.698], [4.736, -2.298, -3.424], [-4.788, -14.547, 3.141]], "species": ["Sn", "Sn", "Sn", "Sn", "Dy", "Dy", "Dy", "Dy", "Dy", "Dy", "Dy", "Dy", "Dy", "Dy", "Cd", "Cd"], "frac_coords": [[0.778, 0.556, 0.393], [0.778, 0.556, 0.107], [0.222, 0.444, 0.893], [0.222, 0.444, 0.607], [0.382, 0.764, 0.058], [0.618, 0.236, 0.942], [0.074, 0.149, 0.406], [0.382, 0.764, 0.442], [0.926, 0.851, 0.594], [0.926, 0.851, 0.906], [0.593, 0.186, 0.250], [0.074, 0.149, 0.094], [0.618, 0.236, 0.558], [0.407, 0.814, 0.750], [0.716, 0.432, 0.750], [0.284, 0.568, 0.250]]}

=====

No. 3
{"formula": "AcAsP", "functional": "PBE", "state": "optimized geometry", "crystal_system": "tetragonal", "sg": "I4mm (107)", "energy_ev_per_cell": -15.6, "polymorph_energy_mev_per_atom": 367, "delta_e_f_ev_per_fu": -1.41, "dos_at_fermi_per_ev_cell": 2.41, "cell": [[3.788, 0.000, 0.000], [0.000, 3.788, 0.000], [-1.894, -1.894, 5.150]], "species": ["As", "P", "Ac"], "frac_coords": [[0.324, 0.324, 0.647], [0.910, 0.910, 0.819], [0.617, 0.617, 0.233]]}